# 1
# SmCuIr

Crystalline SmCuIr at its relaxed geometry (PBE, OQMD via LeMat-Bulk).

## Properties
Energy relative to the lowest polymorph listed for this composition   0.4605 eV/atom
Crystal system   cubic
Calculated formation energy   0.387 eV per atom

Unit cell a=4.5660 b=4.5660 c=4.5660 alpha=60.00 beta=60.00 gamma=60.00
Fractional coordinates of all 3 atoms:
Sm1 0.0000 0.0000 0.0000
Cu1 0.7500 0.7500 0.7500
Ir1 0.2500 0.2500 0.2500



# 2
# Sm2CuIr

Crystalline Sm2CuIr at its relaxed geometry (PBE, OQMD via LeMat-Bulk).

## Properties
Crystal system   monoclinic
Calculated formation energy   -0.550 eV per atom

Unit cell a=5.6714 b=4.3842 c=7.7887 alpha=90.00 beta=110.35 gamma=90.00
Fractional coordinates of all 8 atoms:
Sm1 0.2168 0.2500 0.4364
Sm2 0.2274 0.2500 0.9254
Sm3 0.7726 0.7500 0.0746
Sm4 0.7832 0.7500 0.5636
Cu1 0.3492 0.7500 0.2128
Cu2 0.6508 0.2500 0.7872
Ir1 0.3498 0.7500 0.7149
Ir2 0.6502 0.2500 0.2851



# 3
# SmCuIr

Crystalline SmCuIr at its relaxed geometry (PBE, OQMD via LeMat-Bulk).

## Properties
Energy relative to the lowest polymorph listed for this composition   0.0000 eV/atom
Crystal system   cubic
Calculated formation energy   -0.073 eV per atom

Unit cell a=4.5348 b=4.5348 c=4.5348 alpha=60.00 beta=60.00 gamma=60.00
Fractional coordinates of all 3 atoms:
Sm1 0.0000 0.0000 0.0000
Cu1 0.5000 0.5000 0.5000
Ir1 0.2500 0.2500 0.2500



# 4
# CuSnTe3Ir

Crystalline CuSnTe3Ir at its relaxed geometry (PBE, OQMD via LeMat-Bulk).

## Properties
Crystal system   orthorhombic

Unit cell a=6.9040 b=6.9040 c=10.5017 alpha=90.00 beta=90.00 gamma=145.12
Fractional coordinates of all 12 atoms:
Cu1 0.0499 0.9501 0.7500
Cu2 0.9501 0.0499 0.2500
Sn1 0.2596 0.7404 0.2500
Sn2 0.7404 0.2596 0.7500
Te1 0.1323 0.8677 0.5276
Te2 0.1323 0.8677 0.9724
Te3 0.4252 0.5748 0.7500
Te4 0.5748 0.4252 0.2500
Te5 0.8677 0.1323 0.0276
Te6 0.8677 0.1323 0.4724
Ir1 0.5000 0.5000 0.0000
Ir2 0.5000 0.5000 0.5000



# 5
# SrCuTe3Ir

Crystalline SrCuTe3Ir at its relaxed geometry (PBE, OQMD via LeMat-Bulk).

## Properties
Crystal system   orthorhombic

Unit cell a=6.9679 b=6.9679 c=10.5993 alpha=90.00 beta=90.00 gamma=144.26
Fractional coordinates of all 12 atoms:
Sr1 0.2269 0.7731 0.7500
Sr2 0.7731 0.2269 0.2500
Cu1 0.4600 0.5400 0.2500
Cu2 0.5400 0.4600 0.7500
Te1 0.0719 0.9281 0.2500
Te2 0.3720 0.6280 0.0284
Te3 0.3720 0.6280 0.4716
Te4 0.6280 0.3720 0.5284
Te5 0.6280 0.3720 0.9716
Te6 0.9281 0.0719 0.7500
Ir1 0.0000 0.0000 0.0000
Ir2 0.0000 0.0000 0.5000



# 6
# SrCuTeIr

Crystalline SrCuTeIr at its relaxed geometry (PBE, OQMD via LeMat-Bulk).

## Properties
Energy relative to the lowest polymorph listed for this composition   0.0281 eV/atom
Crystal system   cubic

Unit cell a=4.8929 b=4.8929 c=4.8929 alpha=60.00 beta=60.00 gamma=60.00
Fractional coordinates of all 4 atoms:
Sr1 0.0000 0.0000 0.0000
Cu1 0.2500 0.2500 0.2500
Te1 0.5000 0.5000 0.5000
Ir1 0.7500 0.7500 0.7500



# 7
# SrCuTeIr

Crystalline SrCuTeIr at its relaxed geometry (PBE, OQMD via LeMat-Bulk).

## Properties
Energy relative to the lowest polymorph listed for this composition   0.0000 eV/atom
Crystal system   cubic

Unit cell a=4.8776 b=4.8776 c=4.8776 alpha=60.00 beta=60.00 gamma=60.00
Fractional coordinates of all 4 atoms:
Sr1 0.0000 0.0000 0.0000
Cu1 0.2500 0.2500 0.2500
Te1 0.7500 0.7500 0.7500
Ir1 0.5000 0.5000 0.5000



# 8
# SrCuTeIr

Crystalline SrCuTeIr at its relaxed geometry (PBE, OQMD via LeMat-Bulk).

## Properties
Energy relative to the lowest polymorph listed for this composition   0.2528 eV/atom
Crystal system   cubic

Unit cell a=4.9535 b=4.9535 c=4.9535 alpha=60.00 beta=60.00 gamma=60.00
Fractional coordinates of all 4 atoms:
Sr1 0.0000 0.0000 0.0000
Cu1 0.5000 0.5000 0.5000
Te1 0.7500 0.7500 0.7500
Ir1 0.2500 0.2500 0.2500



# 9
# TaCuIr2

Crystalline TaCuIr2 at its relaxed geometry (PBE, OQMD via LeMat-Bulk).

## Properties
Crystal system   cubic
Calculated formation energy   0.011 eV per atom

Unit cell a=4.3970 b=4.3970 c=4.3970 alpha=60.00 beta=60.00 gamma=60.00
Fractional coordinates of all 4 atoms:
Ta1 0.0000 0.0000 0.0000
Cu1 0.2500 0.2500 0.2500
Ir1 0.5000 0.5000 0.5000
Ir2 0.7500 0.7500 0.7500



# 10
# Tb2CuIr

Crystalline Tb2CuIr at its relaxed geometry (PBE, OQMD via LeMat-Bulk).

## Properties
Crystal system   monoclinic
Calculated formation energy   -0.618 eV per atom

Unit cell a=5.5784 b=4.3350 c=7.6419 alpha=90.00 beta=110.25 gamma=90.00
Fractional coordinates of all 8 atoms:
Tb1 0.2157 0.2500 0.4362
Tb2 0.2277 0.2500 0.9253
Tb3 0.7723 0.7500 0.0747
Tb4 0.7843 0.7500 0.5638
Cu1 0.3445 0.7500 0.2119
Cu2 0.6555 0.2500 0.7881
Ir1 0.3499 0.7500 0.7146
Ir2 0.6501 0.2500 0.2854



# 11
# TlCuTcIr

Crystalline TlCuTcIr at its relaxed geometry (PBE, OQMD via LeMat-Bulk).

## Properties
Energy relative to the lowest polymorph listed for this composition   0.0000 eV/atom
Crystal system   cubic

Unit cell a=4.4846 b=4.4846 c=4.4846 alpha=60.00 beta=60.00 gamma=60.00
Fractional coordinates of all 4 atoms:
Tl1 0.0000 0.0000 0.0000
Cu1 0.2500 0.2500 0.2500
Tc1 0.7500 0.7500 0.7500
Ir1 0.5000 0.5000 0.5000



# 12
# CuTe4Ir2

Crystalline CuTe4Ir2 at its relaxed geometry (PBE, OQMD via LeMat-Bulk).

## Properties
Crystal system   cubic

Unit cell a=7.8725 b=7.8725 c=7.8725 alpha=60.00 beta=60.00 gamma=60.00
Fractional coordinates of all 14 atoms:
Cu1 0.1250 0.1250 0.1250
Cu2 0.8750 0.8750 0.8750
Te1 0.2606 0.2606 0.2606
Te2 0.2606 0.2606 0.7183
Te3 0.2606 0.7183 0.2606
Te4 0.2817 0.7394 0.7394
Te5 0.7183 0.2606 0.2606
Te6 0.7394 0.2817 0.7394
Te7 0.7394 0.7394 0.2817
Te8 0.7394 0.7394 0.7394
Ir1 0.0000 0.5000 0.5000
Ir2 0.5000 0.0000 0.5000
Ir3 0.5000 0.5000 0.0000
Ir4 0.5000 0.5000 0.5000



In eV per atom, the total DFT energy (no corrections) values for the records above are, in order, -5.3737 -6.0484 -5.8342 -4.3697 -4.4599 -4.2483 -4.2764 -4.0236 -8.3089 -6.0754 -5.7825 -5.0900.